# 1
{
  "formula": "Sr2ZnGa",
  "functional": "PBE",
  "state": "relaxed",
  "lattice_angstrom": [[3.8844, 0.0000, 0.0000], [0.0000, 5.5420, 0.0000], [0.0000, 0.0000, 5.5420]],
  "species": ["Zn", "Sr", "Sr", "Ga"],
  "fractional_positions": [[0.5000, 0.5000, 0.5000], [0.0000, 0.0000, 0.5000], [0.0000, 0.5000, 0.0000], [0.5000, 0.0000, 0.0000]],
  "sg": "P4/mmm",
  "vol_a3_per_atom": 29.827,
  "magnetic_moment_mub_per_atom": 0.000,
  "total_energy_ev_per_cell": -8.8,
  "formation_enthalpy_0k_ev_per_atom": -0.2806
}


# 2
{
  "formula": "Ce2NiH",
  "functional": "PBE",
  "state": "relaxed",
  "lattice_angstrom": [[-1.8289, 2.1380, 1.2098], [-2.3729, -0.8269, 1.7508], [3.4429, 0.7752, 7.7110]],
  "species": ["Ce", "Ce", "H", "Ni"],
  "fractional_positions": [[0.0996, 0.0996, 0.7011], [0.9004, 0.9004, 0.2989], [0.5000, 0.5000, 0.5000], [0.0000, 0.0000, 0.0000]],
  "sg": "R-3m",
  "vol_a3_per_atom": 16.843,
  "de_polymorph_ev_per_atom": 0.268,
  "magnetic_moment_mub_per_atom": 0.236,
  "total_energy_ev_per_cell": -20.6
}


# 3
{
  "formula": "TbTmMg5",
  "functional": "PBE",
  "state": "relaxed",
  "lattice_angstrom": [[5.7684, -0.2996, -0.5677], [-2.1604, 5.3569, -0.5676], [-0.6526, -0.9147, 6.4576]],
  "species": ["Mg", "Mg", "Mg", "Mg", "Mg", "Tm", "Tb"],
  "fractional_positions": [[0.4913, 0.9175, 0.2271], [0.0000, 0.0000, 0.5000], [0.5087, 0.0825, 0.7729], [0.0826, 0.5087, 0.7729], [0.9174, 0.4913, 0.2271], [0.5000, 0.5000, 0.5000], [0.0000, 0.0000, 0.0000]],
  "sg": "C2/m",
  "vol_a3_per_atom": 27.022,
  "magnetic_moment_mub_per_atom": 0.000,
  "total_energy_ev_per_cell": -16.3,
  "formation_enthalpy_0k_ev_per_atom": 0.1105
}


# 4
{
  "formula": "Zr4BeGa",
  "functional": "PBE",
  "state": "relaxed",
  "lattice_angstrom": [[4.9959, 0.0000, 0.0000], [0.0000, 6.8203, 0.0000], [0.0000, 0.0000, 6.8203]],
  "species": ["Zr", "Zr", "Zr", "Zr", "Zr", "Zr", "Zr", "Zr", "Ga", "Ga", "Be", "Be"],
  "fractional_positions": [[0.0000, 0.3520, 0.1629], [0.5000, 0.3520, 0.8371], [0.5000, 0.6480, 0.1629], [0.0000, 0.8371, 0.3520], [0.0000, 0.6480, 0.8371], [0.5000, 0.8371, 0.6480], [0.0000, 0.1629, 0.6480], [0.5000, 0.1629, 0.3520], [0.7500, 0.0000, 0.0000], [0.2500, 0.0000, 0.0000], [0.7500, 0.5000, 0.5000], [0.2500, 0.5000, 0.5000]],
  "sg": "P4/mcc",
  "vol_a3_per_atom": 19.366,
  "de_polymorph_ev_per_atom": 0.028,
  "magnetic_moment_mub_per_atom": 0.000,
  "total_energy_ev_per_cell": -84.7,
  "formation_enthalpy_0k_ev_per_atom": -0.2376
}


# 5
{
  "formula": "CaZn2Hg",
  "functional": "PBE",
  "state": "relaxed",
  "lattice_angstrom": [[-0.4345, 3.8858, 1.7227], [0.8092, -1.3554, 3.2615], [5.9432, 0.3540, 0.7006]],
  "species": ["Zn", "Zn", "Hg", "Ca"],
  "fractional_positions": [[0.5000, 0.0703, 0.2358], [0.0000, 0.1835, 0.0039], [0.5000, 0.7927, 0.7921], [0.0000, 0.4535, 0.4682]],
  "sg": "Pm",
  "vol_a3_per_atom": 22.101,
  "magnetic_moment_mub_per_atom": 0.000,
  "total_energy_ev_per_cell": -5.6,
  "formation_enthalpy_0k_ev_per_atom": -0.1883
}


# 6
{
  "formula": "MgCrW2",
  "functional": "PBE",
  "state": "relaxed",
  "lattice_angstrom": [[-1.4959, -1.0784, -8.8837], [-1.3439, -3.8459, -8.1070], [-3.8304, -2.4168, -7.8618]],
  "species": ["W", "W", "Cr", "Mg"],
  "fractional_positions": [[0.9905, 0.9905, 0.9905], [0.5095, 0.5095, 0.5095], [0.2500, 0.2500, 0.2500], [0.7500, 0.7500, 0.7500]],
  "sg": "R-3m",
  "vol_a3_per_atom": 16.000,
  "de_polymorph_ev_per_atom": 0.200,
  "magnetic_moment_mub_per_atom": 0.000,
  "total_energy_ev_per_cell": -35.1,
  "formation_enthalpy_0k_ev_per_atom": 0.4972
}